# CoOF

A geometry-optimized CoOF structure (GGA+U, Alexandria via LeMat-Bulk).

## Properties
**Uncorrected energy**: -5.280 eV per atom
**Polymorph energy (0 for the lowest one)**: 0.17 eV per formula unit
**Space group**: Pmn2_1

Cell: 2.956 4.612 13.524 Å, 90.00 90.00 90.00°
Positions (direct):
1 Co 0.000 0.147 0.000
2 Co 0.000 0.273 0.667
3 Co 0.000 0.293 0.338
4 Co 0.500 0.707 0.838
5 Co 0.500 0.727 0.167
6 Co 0.500 0.853 0.500
7 O 0.000 0.009 0.434
8 O 0.000 0.561 0.235
9 O 0.000 0.874 0.097
10 O 0.500 0.126 0.597
11 O 0.500 0.439 0.735
12 O 0.500 0.991 0.934
13 F 0.000 0.480 0.906
14 F 0.000 0.650 0.567
15 F 0.000 0.919 0.768
16 F 0.500 0.081 0.268
17 F 0.500 0.350 0.067
18 F 0.500 0.520 0.406